(1)
# BaSrLaBi2

A relaxed structure of BaSrLaBi2 (PBE, Alexandria via LeMat-Bulk).

For the calculated total energy, the calculation gives -3.2358 eV/atom. Its crystal system is tetragonal.

abc: 6.3070 6.3070 6.1982
angles: 90.00 90.00 90.00
Closest atoms and distances in Å follow each position.
Atoms (fractional coordinates):
1 Ba 0.0000 0.0000 0.0000  2 La 3.10
2 Sr 0.5000 0.5000 0.0000  8 Bi 4.42, 4 Ba 4.46
3 La 0.0000 0.0000 0.5000  2 Ba 3.10, 4 Bi 3.15
4 Bi 0.0000 0.5000 0.5000  2 La 3.15
5 Bi 0.5000 0.0000 0.5000  2 La 3.15

***

(2)
# BaTi2Se4

A relaxed structure of BaTi2Se4 (PBE, Alexandria via LeMat-Bulk).

The calculation puts the uncorrected formation energy at -1.31 eV per atom. Its crystal system is orthorhombic.

abc: 6.6284 6.6284 13.3245
angles: 90.00 90.00 145.04
Closest atoms and distances in Å follow each position.
Atoms (fractional coordinates):
1 Ba 0.1172 0.8828 0.7500  6 Se 3.22
2 Ba 0.8828 0.1172 0.2500  6 Se 3.22
3 Ti 0.3766 0.6234 0.5640  6 Se 2.53-2.69
4 Ti 0.3766 0.6234 0.9360  6 Se 2.53-2.69
5 Ti 0.6234 0.3766 0.0640  6 Se 2.53-2.69
6 Ti 0.6234 0.3766 0.4360  6 Se 2.53-2.69
7 Se 0.0000 0.0000 0.0000  4 Ti 2.67
8 Se 0.0000 0.0000 0.5000  4 Ti 2.67
9 Se 0.2618 0.7382 0.0993  3 Ti 2.62-2.69
10 Se 0.2618 0.7382 0.4007  3 Ti 2.62-2.69
11 Se 0.4166 0.5834 0.7500  2 Ti 2.53
12 Se 0.5834 0.4166 0.2500  2 Ti 2.53
13 Se 0.7382 0.2618 0.5993  3 Ti 2.62-2.69
14 Se 0.7382 0.2618 0.9007  3 Ti 2.62-2.69

***

(3)
# Ca3Ga3Ru

A relaxed structure of Ca3Ga3Ru (PBE, Alexandria via LeMat-Bulk).

For the calculated total energy, the calculation gives -3.8902 eV/atom. Its crystal system is monoclinic.

abc: 5.8863 5.8863 14.8894
angles: 109.27 109.27 43.94
Closest atoms and distances in Å follow each position.
Atoms (fractional coordinates):
1 Ca 0.0265 0.0265 0.3872  4 Ru 3.11-3.30, 7 Ga 3.17-3.32
2 Ca 0.1041 0.1041 0.9229  7 Ga 3.17-3.34
3 Ca 0.2555 0.2555 0.2337  6 Ga 3.07-3.33
4 Ca 0.7445 0.7445 0.7663  6 Ga 3.07-3.33
5 Ca 0.8959 0.8959 0.0771  7 Ga 3.17-3.34
6 Ca 0.9735 0.9735 0.6128  4 Ru 3.11-3.30, 7 Ga 3.17-3.32
7 Ga 0.3483 0.3483 0.4538  3 Ru 2.50-2.54
8 Ga 0.3944 0.3944 0.9221  2 Ga 2.63-2.66
9 Ga 0.4349 0.4349 0.7564  1 Ru 2.49, 1 Ga 2.66
10 Ga 0.5651 0.5651 0.2436  1 Ru 2.49, 1 Ga 2.66
11 Ga 0.6056 0.6056 0.0779  2 Ga 2.63-2.66
12 Ga 0.6517 0.6517 0.5462  3 Ru 2.50-2.54
13 Ru 0.2644 0.2644 0.5926  4 Ga 2.49-2.54
14 Ru 0.7356 0.7356 0.4074  4 Ga 2.49-2.54

***

(4)
# TbMg2Rh

A relaxed structure of TbMg2Rh (PBE, Alexandria via LeMat-Bulk).

For the calculated total energy, the calculation gives -4.2740 eV/atom. Its crystal system is orthorhombic.

abc: 15.2188 8.3876 5.4181
angles: 90.00 90.00 90.00
Closest atoms and distances in Å follow each position.
Atoms (fractional coordinates):
1 Tb 0.1046 0.2500 0.2473  3 Rh 2.87-3.07
2 Tb 0.1364 0.7500 0.0394  3 Rh 2.86-2.91
3 Tb 0.3636 0.2500 0.5394  3 Rh 2.86-2.91
4 Tb 0.3954 0.7500 0.7473  3 Rh 2.87-3.07
5 Tb 0.6046 0.2500 0.2527  3 Rh 2.87-3.07
6 Tb 0.6364 0.7500 0.4606  3 Rh 2.86-2.91
7 Tb 0.8636 0.2500 0.9606  3 Rh 2.86-2.91
8 Tb 0.8954 0.7500 0.7527  3 Rh 2.87-3.07
9 Mg 0.0408 0.0549 0.7377  3 Rh 2.76-2.81, 2 Mg 2.99-3.00
10 Mg 0.0408 0.4451 0.7377  3 Rh 2.76-2.81, 2 Mg 2.99-3.00
11 Mg 0.2126 0.5560 0.5321  3 Rh 2.74-2.81, 1 Mg 2.99
12 Mg 0.2126 0.9440 0.5321  3 Rh 2.74-2.81, 1 Mg 2.99
13 Mg 0.2874 0.0560 0.0321  3 Rh 2.74-2.81, 1 Mg 2.99
14 Mg 0.2874 0.4440 0.0321  3 Rh 2.74-2.81, 1 Mg 2.99
15 Mg 0.4592 0.5549 0.2377  3 Rh 2.76-2.81, 2 Mg 2.99-3.00
16 Mg 0.4592 0.9451 0.2377  3 Rh 2.76-2.81, 2 Mg 2.99-3.00
17 Mg 0.5408 0.0549 0.7623  3 Rh 2.76-2.81, 2 Mg 2.99-3.00
18 Mg 0.5408 0.4451 0.7623  3 Rh 2.76-2.81, 2 Mg 2.99-3.00
19 Mg 0.7126 0.5560 0.9679  3 Rh 2.74-2.81, 1 Mg 2.99
20 Mg 0.7126 0.9440 0.9679  3 Rh 2.74-2.81, 1 Mg 2.99
21 Mg 0.7874 0.0560 0.4679  3 Rh 2.74-2.81, 1 Mg 2.99
22 Mg 0.7874 0.4440 0.4679  3 Rh 2.74-2.81, 1 Mg 2.99
23 Mg 0.9592 0.5549 0.2623  3 Rh 2.76-2.81, 2 Mg 2.99-3.00
24 Mg 0.9592 0.9451 0.2623  3 Rh 2.76-2.81, 2 Mg 2.99-3.00
25 Rh 0.0677 0.7500 0.5380  6 Mg 2.74-2.81, 3 Tb 2.87-2.91
26 Rh 0.1888 0.2500 0.7322  6 Mg 2.75-2.81, 3 Tb 2.86-3.07
27 Rh 0.3112 0.7500 0.2322  6 Mg 2.75-2.81, 3 Tb 2.86-3.07
28 Rh 0.4323 0.2500 0.0380  6 Mg 2.74-2.81, 3 Tb 2.87-2.91
29 Rh 0.5677 0.7500 0.9620  6 Mg 2.74-2.81, 3 Tb 2.87-2.91
30 Rh 0.6888 0.2500 0.7678  6 Mg 2.75-2.81, 3 Tb 2.86-3.07
31 Rh 0.8112 0.7500 0.2678  6 Mg 2.75-2.81, 3 Tb 2.86-3.07
32 Rh 0.9323 0.2500 0.4620  6 Mg 2.74-2.81, 3 Tb 2.87-2.91

***

no.,total moment (μB/atom),calculated volume (A^3/atom)
1,0.085,49.3
2,0.208,24.0
3,0.000,23.9
4,0.000,21.6